[1]
Computed, not measured: an optimized crystal structure of KZnAg2 at the PBE level of DFT.

a = 3.012 Å, b = 4.159 Å, c = 7.481 Å
α = 90.00°, β = 90.00°, γ = 90.00°
Element x y z (fractional)
1 K 0.000 0.000 0.000
2 Zn 0.500 0.500 0.324
3 Ag 0.000 0.000 0.486
4 Ag 0.500 0.500 0.684

Properties
Symmetry = Pmm2
E_tot = -0.14046 Ry/atom
N(E_F) = 0.936 states/eV/f.u.
Energy of formation from the pure elements = 0.4 eV per formula unit
Magnetic moment = 0.00 μB/f.u.

[2]
Computed, not measured: an optimized crystal structure of Ac2Ga2Cu3 at the PBE level of DFT.

a = 5.962 Å, b = 5.962 Å, c = 6.667 Å
α = 107.96°, β = 107.96°, γ = 43.81°
Element x y z (fractional)
1 Ac 0.133 0.133 0.280
2 Ac 0.867 0.867 0.720
3 Ga 0.176 0.176 0.810
4 Ga 0.824 0.824 0.190
5 Cu 0.408 0.408 0.095
6 Cu 0.500 0.500 0.500
7 Cu 0.592 0.592 0.905

Properties
Symmetry = C2/m
E_tot = -0.29961 Ry/atom
N(E_F) = 3.194 states/eV/f.u.
Energy of formation from the pure elements = -2.0 eV per formula unit
Magnetic moment = 0.00 μB/f.u.

[3]
Computed, not measured: an optimized crystal structure of LiV at the PBE level of DFT.

a = 4.803 Å, b = 14.411 Å, c = 2.382 Å
α = 90.00°, β = 90.00°, γ = 90.00°
Element x y z (fractional)
1 Li 0.250 0.080 0.001
2 Li 0.250 0.420 0.001
3 Li 0.250 0.750 0.000
4 Li 0.750 0.250 0.000
5 Li 0.750 0.580 0.999
6 Li 0.750 0.920 0.999
7 V 0.250 0.250 0.434
8 V 0.250 0.588 0.447
9 V 0.250 0.912 0.447
10 V 0.750 0.088 0.553
11 V 0.750 0.412 0.553
12 V 0.750 0.750 0.566

Properties
Symmetry = Pmmn
E above lowest polymorph = 359 meV per atom
E_tot = -0.35229 Ry/atom
N(E_F) = 1.378 states/eV/f.u.
Energy of formation from the pure elements = 1.4 eV per formula unit
Magnetic moment = 0.33 μB/f.u.

Q: What is the N(E_F) in the third record?
A: 1.378 states/eV/f.u.

Q: E_tot of number 1 (KZnAg2)?
A: -0.14046 Ry/atom

Q: Look up the E_tot of the first one.
A: -0.14046 Ry/atom

Q: What is the energy of formation from the pure elements in the third record?
A: 1.4 eV per formula unit